Entry 1:
## ScSiP (GGA-PBE)

Data for crystalline ScSiP at its relaxed geometry.

Calculated values
Space-group type = F-43m
Crystal system = cubic
Energy relative to the elements, uncorrected = 0.04 eV per atom
Size of the total moment = 0.00 μB/cell
ρ = 2.91 g cm⁻³

a b c (Å): 4.3806 4.3806 4.3806
angles (deg): 60.00 60.00 60.00
Element x y z (fractional)
P: 0.0000 0.0000 0.0000
Sc: 0.5000 0.5000 0.5000
Si: 0.7500 0.7500 0.7500

***

Entry 2:
## UOs2Pd (GGA-PBE)

Data for crystalline UOs2Pd at its relaxed geometry.

Calculated values
Space-group type = P4/mmm
Calculated formation energy = -0.21 eV per atom
Crystal system = tetragonal
Size of the total moment = 0.00 μB/cell
ρ = 18.19 g cm⁻³

a b c (Å): 3.8973 4.1205 4.1205
angles (deg): 90.00 90.00 90.00
Element x y z (fractional)
Os: 0.0000 0.0000 0.5000
Os: 0.0000 0.5000 0.0000
U: 0.5000 0.0000 0.0000
Pd: 0.5000 0.5000 0.5000